(1)
# Fe2RhAuC (PBE, relaxed)
# Final energy in eV/atom: -7.201
# E_form in eV per atom: 0.155
data_Fe2RhAuC
_chemical_formula_sum 'Fe2 Rh1 Au1 C1'
_cell_length_a 3.9410
_cell_length_b 3.9410
_cell_length_c 4.0488
_cell_angle_alpha 90.00
_cell_angle_beta 90.00
_cell_angle_gamma 90.00
_symmetry_space_group_name_H-M 'P 4/m m m'
_symmetry_Int_Tables_number 123
_symmetry_space_group_name_Hall '-P 4 2'
loop_
_atom_site_label
_atom_site_type_symbol
_atom_site_fract_x
_atom_site_fract_y
_atom_site_fract_z
Fe1 Fe 0.0000 0.5000 0.0000
Rh1 Rh 0.0000 0.0000 0.5000
Au1 Au 0.5000 0.5000 0.5000
C1 C 0.0000 0.0000 0.0000

---

(2)
# ThPaNb (PBE, relaxed)
# Final energy in eV/atom: -8.883
# E_form in eV per atom: 0.112
data_ThPaNb
_chemical_formula_sum 'Th2 Pa2 Nb2'
_cell_length_a 3.5961
_cell_length_b 3.5961
_cell_length_c 11.3861
_cell_angle_alpha 90.00
_cell_angle_beta 90.00
_cell_angle_gamma 90.00
_symmetry_space_group_name_H-M 'I 4 m m'
_symmetry_Int_Tables_number 107
_symmetry_space_group_name_Hall 'I 4 -2'
loop_
_atom_site_label
_atom_site_type_symbol
_atom_site_fract_x
_atom_site_fract_y
_atom_site_fract_z
Th1 Th 0.0000 0.0000 0.0000
Pa1 Pa 0.0000 0.0000 0.3193
Nb1 Nb 0.0000 0.0000 0.6793

---

(3)
# Na6HgPb3 (PBE, relaxed)
# Final energy in eV/atom: -2.075
# E_form in eV per atom: -0.141
data_Na6HgPb3
_chemical_formula_sum 'Na12 Hg2 Pb6'
_cell_length_a 9.2218
_cell_length_b 5.6389
_cell_length_c 12.0859
_cell_angle_alpha 90.00
_cell_angle_beta 112.26
_cell_angle_gamma 90.00
_symmetry_space_group_name_H-M 'P 1 21/m 1'
_symmetry_Int_Tables_number 11
_symmetry_space_group_name_Hall '-P 2yb'
loop_
_atom_site_label
_atom_site_type_symbol
_atom_site_fract_x
_atom_site_fract_y
_atom_site_fract_z
Na1 Na 0.0293 0.2500 0.4133
Na2 Na 0.1431 0.7500 0.1785
Na3 Na 0.2294 0.2500 0.0423
Na4 Na 0.2668 0.7500 0.4788
Na5 Na 0.4502 0.2500 0.6305
Na6 Na 0.4715 0.7500 0.0714
Hg1 Hg 0.3294 0.2500 0.3341
Pb1 Pb 0.0949 0.7500 0.8765
Pb2 Pb 0.1500 0.2500 0.7238
Pb3 Pb 0.3771 0.7500 0.7730

---

(4)
# AcLaAs (PBE, relaxed)
# Final energy in eV/atom: -5.345
# E_form in eV per atom: -0.783
# Distance to the lowest polymorph of the same formula in meV/atom: 82
data_AcLaAs
_chemical_formula_sum 'Ac4 La4 As4'
_cell_length_a 7.3702
_cell_length_b 7.3702
_cell_length_c 7.3702
_cell_angle_alpha 90.00
_cell_angle_beta 90.00
_cell_angle_gamma 90.00
_symmetry_space_group_name_H-M 'F -4 3 m'
_symmetry_Int_Tables_number 216
_symmetry_space_group_name_Hall 'F -4 2 3'
loop_
_atom_site_label
_atom_site_type_symbol
_atom_site_fract_x
_atom_site_fract_y
_atom_site_fract_z
Ac1 Ac 0.0000 0.0000 0.0000
La1 La 0.0000 0.0000 0.5000
As1 As 0.2500 0.2500 0.2500

---

(5)
# AlIn3Ge (PBE, relaxed)
# Final energy in eV/atom: -2.778
# E_form in eV per atom: 0.537
# Distance to the lowest polymorph of the same formula in meV/atom: 0
data_AlIn3Ge
_chemical_formula_sum 'Al1 In3 Ge1'
_cell_length_a 5.2869
_cell_length_b 5.2869
_cell_length_c 5.2869
_cell_angle_alpha 90.00
_cell_angle_beta 90.00
_cell_angle_gamma 90.00
_symmetry_space_group_name_H-M 'P m -3 m'
_symmetry_Int_Tables_number 221
_symmetry_space_group_name_Hall '-P 4 2 3'
loop_
_atom_site_label
_atom_site_type_symbol
_atom_site_fract_x
_atom_site_fract_y
_atom_site_fract_z
Al1 Al 0.0000 0.0000 0.0000
In1 In 0.0000 0.0000 0.5000
Ge1 Ge 0.5000 0.5000 0.5000

---

(6)
# Ho3Ag2Hg6 (PBE, relaxed)
# Final energy in eV/atom: -2.091
# E_form in eV per atom: -0.160
data_Ho3Ag2Hg6
_chemical_formula_sum 'Ho6 Ag4 Hg12'
_cell_length_a 4.1722
_cell_length_b 4.1722
_cell_length_c 31.8689
_cell_angle_alpha 90.00
_cell_angle_beta 90.00
_cell_angle_gamma 90.00
_symmetry_space_group_name_H-M 'I 4/m m m'
_symmetry_Int_Tables_number 139
_symmetry_space_group_name_Hall '-I 4 2'
loop_
_atom_site_label
_atom_site_type_symbol
_atom_site_fract_x
_atom_site_fract_y
_atom_site_fract_z
Ho1 Ho 0.0000 0.0000 0.0000
Ho2 Ho 0.0000 0.0000 0.1741
Ag1 Ag 0.0000 0.0000 0.3592
Hg1 Hg 0.0000 0.0000 0.2717
Hg2 Hg 0.0000 0.5000 0.0737

---

(7)
# BiPNCl2 (PBE, relaxed)
# Final energy in eV/atom: -3.234
# Uncorrected formation energy in meV/atom: 1028.3
# Distance to the lowest polymorph of the same formula in meV/atom: 179
data_BiPNCl2
_chemical_formula_sum 'Bi1 P1 N1 Cl2'
_cell_length_a 5.4436
_cell_length_b 5.4436
_cell_length_c 5.7243
_cell_angle_alpha 90.00
_cell_angle_beta 90.00
_cell_angle_gamma 90.00
_symmetry_space_group_name_H-M 'P 4/m m m'
_symmetry_Int_Tables_number 123
_symmetry_space_group_name_Hall '-P 4 2'
loop_
_atom_site_label
_atom_site_type_symbol
_atom_site_fract_x
_atom_site_fract_y
_atom_site_fract_z
Bi1 Bi 0.0000 0.0000 0.0000
P1 P 0.0000 0.0000 0.5000
N1 N 0.5000 0.5000 0.5000
Cl1 Cl 0.0000 0.5000 0.0000

---

(8)
# La2SbIr (PBE, relaxed)
# Final energy in eV/atom: -6.007
# Uncorrected formation energy in meV/atom: -297.5
data_La2SbIr
_chemical_formula_sum 'La2 Sb1 Ir1'
_cell_length_a 3.5462
_cell_length_b 3.5462
_cell_length_c 8.9274
_cell_angle_alpha 90.00
_cell_angle_beta 90.00
_cell_angle_gamma 90.00
_symmetry_space_group_name_H-M 'P 4 m m'
_symmetry_Int_Tables_number 99
_symmetry_space_group_name_Hall 'P 4 -2'
loop_
_atom_site_label
_atom_site_type_symbol
_atom_site_fract_x
_atom_site_fract_y
_atom_site_fract_z
La1 La 0.0000 0.0000 0.0000
La2 La 0.5000 0.5000 0.3946
Sb1 Sb 0.0000 0.0000 0.6421
Ir1 Ir 0.5000 0.5000 0.7935